1.
The following is a DFT calculation (PBE) of a relaxed AcLaIn5 crystal.

Cell and atoms, written as POSCAR:
```
AcLaIn5
1.0
5.413 0.000 0.000
0.000 5.413 0.000
0.000 0.000 7.666
Ac La In
1 1 5
direct
0.000 0.000 0.000 Ac
0.500 0.500 0.500 La
0.000 0.500 0.266 In
0.000 0.500 0.734 In
0.500 0.000 0.266 In
0.500 0.000 0.734 In
0.500 0.500 0.000 In
```

E ... -0.126 hartree per atom
M_tot ... 0.00 μB per cell
Formation enthalpy at 0 K ... -190 meV/atom

2.
The following is a DFT calculation (PBE) of a relaxed AcLa5In6 crystal.

Cell and atoms, written as POSCAR:
```
AcLa5In6
1.0
8.920 -3.957 0.000
8.920 3.957 0.000
-1.757 0.000 5.361
Ac La In
1 5 6
direct
0.000 0.000 0.000 Ac
0.163 0.163 0.663 La
0.331 0.331 0.331 La
0.500 0.500 0.000 La
0.669 0.669 0.669 La
0.837 0.837 0.337 La
0.087 0.575 0.831 In
0.262 0.738 0.500 In
0.425 0.913 0.169 In
0.575 0.087 0.831 In
0.738 0.262 0.500 In
0.913 0.425 0.169 In
```

E ... -0.157 hartree per atom
M_tot ... 0.00 μB per cell
Formation enthalpy at 0 K ... -497 meV/atom

3.
The following is a DFT calculation (PBE) of a relaxed AcLa6In crystal.

Cell and atoms, written as POSCAR:
```
AcLa6In
1.0
6.348 0.000 0.000
1.044 6.301 0.000
0.030 2.175 7.030
Ac La In
1 6 1
direct
0.000 0.000 0.000 Ac
0.233 0.494 0.391 La
0.256 0.513 0.861 La
0.495 0.004 0.266 La
0.505 0.996 0.734 La
0.744 0.487 0.139 La
0.767 0.506 0.609 La
0.000 0.000 0.500 In
```

Polymorph energy (0 for the lowest one) ... 0.0196 eV/atom
E ... -0.171 hartree per atom
M_tot ... 0.00 μB per cell
Formation enthalpy at 0 K ... -111 meV/atom

4.
The following is a DFT calculation (PBE) of a relaxed Ac8La5In crystal.

Cell and atoms, written as POSCAR:
```
Ac8La5In
1.0
-5.142 5.142 5.545
5.142 -5.142 5.545
5.142 5.142 -5.545
Ac La In
8 5 1
direct
0.089 0.328 0.612 Ac
0.181 0.437 0.099 Ac
0.339 0.083 0.901 Ac
0.523 0.911 0.239 Ac
0.563 0.661 0.744 Ac
0.672 0.284 0.761 Ac
0.716 0.477 0.388 Ac
0.917 0.819 0.256 Ac
0.035 0.728 0.900 La
0.250 0.750 0.500 La
0.272 0.172 0.307 La
0.828 0.135 0.100 La
0.865 0.965 0.693 La
0.500 0.500 0.000 In
```

E ... -0.154 hartree per atom
M_tot ... 0.00 μB per cell
Formation enthalpy at 0 K ... 102 meV/atom